(1)
PBE TlCuRu2, optimized geometry; ΔH_f (0 K) = 59.1 kJ per mole of atoms; space-group type = Fm-3m (225); DOS at the Fermi energy = 0.651 states/eV/atom; distance to the lowest polymorph of the same formula = 0.2363 eV/atom
1.0
-0.1727 -3.1205 3.1922
-2.4840 0.6748 3.6513
-3.7448 -2.3556 0.6207
Tl Ru Cu
1 2 1
Direct
0.5000 0.5000 0.5000
0.2500 0.2500 0.2500
0.7500 0.7500 0.7500
0.0000 0.0000 0.0000

---

(2)
PBE GaHgTe, optimized geometry; raw formation energy = -6 kJ/mol of atoms; space-group type = I4mm (107); DOS at the Fermi energy = 0.339 states/eV/atom; distance to the lowest polymorph of the same formula = 0.0617 eV/atom
1.0
3.9995 0.0000 0.0000
0.0000 3.9995 0.0000
-1.9997 -1.9997 6.2798
Te Ga Hg
1 1 1
Direct
0.7689 0.7689 0.5378
0.2217 0.2217 0.4434
0.0094 0.0094 0.0187

---

(3)
PBE KAsPb, optimized geometry; ΔH_f (0 K) = 32.1 kJ per mole of atoms; space-group type = F-43m (216)
1.0
-4.8724 1.5707 0.8108
-3.1843 0.7494 -4.0204
-3.9448 -3.2595 -0.8242
K As Pb
1 1 1
Direct
0.7500 0.7500 0.7500
0.5000 0.5000 0.5000
0.0000 0.0000 0.0000